# 1
Density functional theory data (PBE) for an optimized crystal structure of CrInP2.

SG   No. 122
ΔH_f (0 K)   -0.01 eV/atom
E   -92.828 eV/cell

Cell: 5.643 5.643 11.478 Å, 90.00 90.00 90.00°
Fractional positions:
Cr (0.000, 0.000, 0.000)
Cr (0.000, 0.500, 0.250)
Cr (0.500, 0.000, 0.750)
Cr (0.500, 0.500, 0.500)
In (0.000, 0.000, 0.500)
In (0.000, 0.500, 0.750)
In (0.500, 0.000, 0.250)
In (0.500, 0.500, 0.000)
P (0.210, 0.250, 0.125)
P (0.250, 0.710, 0.375)
P (0.250, 0.790, 0.875)
P (0.290, 0.250, 0.625)
P (0.710, 0.750, 0.625)
P (0.750, 0.210, 0.875)
P (0.750, 0.290, 0.375)
P (0.790, 0.750, 0.125)



# 2
Density functional theory data (PBE) for an optimized crystal structure of CrInP.

SG   No. 107
ΔH_f (0 K)   0.00 eV/atom
Energy relative to the lowest polymorph listed for this composition   0.0000 eV/atom
E   -35.558 eV/cell

Cell: 3.103 3.103 9.771 Å, 90.00 90.00 90.00°
Fractional positions:
Cr (0.000, 0.000, 0.000)
Cr (0.500, 0.500, 0.500)
In (0.000, 0.000, 0.703)
In (0.500, 0.500, 0.203)
P (0.000, 0.000, 0.412)
P (0.500, 0.500, 0.912)



# 3
Density functional theory data (PBE) for an optimized crystal structure of CrInP2.

SG   No. 44
ΔH_f (0 K)   0.38 eV/atom
E   -43.332 eV/cell

Cell: 3.186 4.973 8.624 Å, 90.00 90.00 90.00°
Fractional positions:
Cr (0.000, 0.000, 0.000)
Cr (0.500, 0.500, 0.500)
In (0.000, 0.500, 0.786)
In (0.500, 0.000, 0.286)
P (0.000, 0.000, 0.561)
P (0.000, 0.500, 0.260)
P (0.500, 0.000, 0.760)
P (0.500, 0.500, 0.061)



# 4
Density functional theory data (PBE) for an optimized crystal structure of CrInP2.

SG   No. 6
ΔH_f (0 K)   0.20 eV/atom
E   -22.375 eV/cell

Cell: 3.451 4.279 4.696 Å, 90.00 111.47 90.00°
Fractional positions:
Cr (0.000, 0.000, 0.000)
In (0.612, 0.500, 0.224)
P (0.297, 0.000, 0.594)
P (0.893, 0.500, 0.783)